# 1
Computed, not measured: a geometry-optimized HoNb3C2S2 structure at the PBE-GGA level of DFT.

Output
Calculated total energy = -8.585 eV/atom

The structure in CIF format:
```
data_HoNb3C2S2
_chemical_formula_sum 'Ho1 Nb3 C2 S2'
_cell_length_a 3.3786
_cell_length_b 3.3786
_cell_length_c 11.9798
_cell_angle_alpha 90.00
_cell_angle_beta 90.00
_cell_angle_gamma 120.00
_symmetry_space_group_name_H-M 'P 3 m 1'
_symmetry_Int_Tables_number 156
_symmetry_space_group_name_Hall 'P 3 -2"'
loop_
_atom_site_label
_atom_site_type_symbol
_atom_site_fract_x
_atom_site_fract_y
_atom_site_fract_z
_atom_site_occupancy
Ho1 Ho 0.0000 0.0000 0.0000 1
Nb1 Nb 0.0000 0.0000 0.6863 1
Nb2 Nb 0.3333 0.6667 0.2105 1
Nb3 Nb 0.3333 0.6667 0.5044 1
C1 C 0.6667 0.3333 0.1177 1
C2 C 0.6667 0.3333 0.5953 1
S1 S 0.0000 0.0000 0.3560 1
S2 S 0.3333 0.6667 0.8324 1
```

---

# 2
Computed, not measured: a geometry-optimized HoNbSnC structure at the PBE-GGA level of DFT.

Output
Calculated total energy = -7.459 eV/atom

The structure in CIF format:
```
data_HoNbSnC
_chemical_formula_sum 'Ho2 Nb2 Sn2 C2'
_cell_length_a 3.3596
_cell_length_b 3.3596
_cell_length_c 15.0162
_cell_angle_alpha 90.00
_cell_angle_beta 90.00
_cell_angle_gamma 120.00
_symmetry_space_group_name_H-M 'P -6 m 2'
_symmetry_Int_Tables_number 187
_symmetry_space_group_name_Hall 'P -6 2'
loop_
_atom_site_label
_atom_site_type_symbol
_atom_site_fract_x
_atom_site_fract_y
_atom_site_fract_z
_atom_site_occupancy
Ho1 Ho 0.0000 0.0000 0.1762 1
Nb1 Nb 0.6667 0.3333 0.3481 1
Sn1 Sn 0.0000 0.0000 0.5000 1
Sn2 Sn 0.6667 0.3333 0.0000 1
C1 C 0.3333 0.6667 0.2724 1
```

---

# 3
Computed, not measured: a geometry-optimized HoNb3Sn2C2 structure at the PBE-GGA level of DFT.

Output
Calculated total energy = -8.119 eV/atom

The structure in CIF format:
```
data_HoNb3Sn2C2
_chemical_formula_sum 'Ho1 Nb3 Sn2 C2'
_cell_length_a 3.3075
_cell_length_b 3.3075
_cell_length_c 14.4894
_cell_angle_alpha 90.00
_cell_angle_beta 90.00
_cell_angle_gamma 120.00
_symmetry_space_group_name_H-M 'P 3 m 1'
_symmetry_Int_Tables_number 156
_symmetry_space_group_name_Hall 'P 3 -2"'
loop_
_atom_site_label
_atom_site_type_symbol
_atom_site_fract_x
_atom_site_fract_y
_atom_site_fract_z
_atom_site_occupancy
Ho1 Ho 0.0000 0.0000 0.0000 1
Nb1 Nb 0.0000 0.0000 0.6562 1
Nb2 Nb 0.6667 0.3333 0.1804 1
Nb3 Nb 0.6667 0.3333 0.4988 1
Sn1 Sn 0.0000 0.0000 0.3397 1
Sn2 Sn 0.6667 0.3333 0.8166 1
C1 C 0.3333 0.6667 0.1010 1
C2 C 0.3333 0.6667 0.5778 1
```

---

# 4
Computed, not measured: a geometry-optimized HoNbSnC structure at the PBE-GGA level of DFT.

Output
Calculated total energy = -7.476 eV/atom

The structure in CIF format:
```
data_HoNbSnC
_chemical_formula_sum 'Ho2 Nb2 Sn2 C2'
_cell_length_a 3.3528
_cell_length_b 3.3528
_cell_length_c 15.0617
_cell_angle_alpha 90.00
_cell_angle_beta 90.00
_cell_angle_gamma 120.00
_symmetry_space_group_name_H-M 'P 63 m c'
_symmetry_Int_Tables_number 186
_symmetry_space_group_name_Hall 'P 6c -2c'
loop_
_atom_site_label
_atom_site_type_symbol
_atom_site_fract_x
_atom_site_fract_y
_atom_site_fract_z
_atom_site_occupancy
Ho1 Ho 0.3333 0.6667 0.0000 1
Nb1 Nb 0.3333 0.6667 0.6704 1
Sn1 Sn 0.3333 0.6667 0.3243 1
C1 C 0.0000 0.0000 0.0960 1
```

---

# 5
Computed, not measured: a geometry-optimized HoNbSnC structure at the PBE-GGA level of DFT.

Output
Calculated total energy = -7.422 eV/atom

The structure in CIF format:
```
data_HoNbSnC
_chemical_formula_sum 'Ho2 Nb2 Sn2 C2'
_cell_length_a 3.4378
_cell_length_b 3.4378
_cell_length_c 14.7338
_cell_angle_alpha 90.00
_cell_angle_beta 90.00
_cell_angle_gamma 120.00
_symmetry_space_group_name_H-M 'P -3 m 1'
_symmetry_Int_Tables_number 164
_symmetry_space_group_name_Hall '-P 3 2"'
loop_
_atom_site_label
_atom_site_type_symbol
_atom_site_fract_x
_atom_site_fract_y
_atom_site_fract_z
_atom_site_occupancy
Ho1 Ho 0.3333 0.6667 0.4081 1
Nb1 Nb 0.3333 0.6667 0.0721 1
Sn1 Sn 0.3333 0.6667 0.7715 1
C1 C 0.0000 0.0000 0.0000 1
C2 C 0.0000 0.0000 0.5000 1
```

---

# 6
Computed, not measured: a geometry-optimized Ho3NbTe2C2 structure at the PBE-GGA level of DFT.

Output
Calculated total energy = -6.779 eV/atom

The structure in CIF format:
```
data_Ho3NbTe2C2
_chemical_formula_sum 'Ho3 Nb1 Te2 C2'
_cell_length_a 3.6595
_cell_length_b 3.6595
_cell_length_c 13.8799
_cell_angle_alpha 90.00
_cell_angle_beta 90.00
_cell_angle_gamma 120.00
_symmetry_space_group_name_H-M 'P 3 m 1'
_symmetry_Int_Tables_number 156
_symmetry_space_group_name_Hall 'P 3 -2"'
loop_
_atom_site_label
_atom_site_type_symbol
_atom_site_fract_x
_atom_site_fract_y
_atom_site_fract_z
_atom_site_occupancy
Ho1 Ho 0.0000 0.0000 0.0000 1
Ho2 Ho 0.0000 0.0000 0.3263 1
Ho3 Ho 0.3333 0.6667 0.5155 1
Nb1 Nb 0.3333 0.6667 0.8306 1
Te1 Te 0.0000 0.0000 0.6871 1
Te2 Te 0.3333 0.6667 0.1625 1
C1 C 0.6667 0.3333 0.4230 1
C2 C 0.6667 0.3333 0.9003 1
```

---

# 7
Computed, not measured: a geometry-optimized HoNbW2C3 structure at the PBE-GGA level of DFT.

Output
Calculated total energy = -10.028 eV/atom

The structure in CIF format:
```
data_HoNbW2C3
_chemical_formula_sum 'Ho2 Nb2 W4 C6'
_cell_length_a 11.217
_cell_length_b 3.214
_cell_length_c 5.486
_cell_angle_alpha 90.00
_cell_angle_beta 108.68
_cell_angle_gamma 90.00
_symmetry_space_group_name_H-M 'C 1 m 1'
_symmetry_Int_Tables_number 8
_symmetry_space_group_name_Hall 'C -2y'
loop_
_atom_site_label
_atom_site_type_symbol
_atom_site_fract_x
_atom_site_fract_y
_atom_site_fract_z
_atom_site_occupancy
Ho1 Ho 0.000 0.000 0.000 1
Nb1 Nb 0.227 0.000 0.678 1
W1 W 0.255 0.500 0.161 1
W2 W 0.454 0.000 0.486 1
C1 C 0.111 0.500 0.808 1
C2 C 0.350 0.500 0.570 1
C3 C 0.355 0.000 0.076 1
```

---

# 8
Computed, not measured: a geometry-optimized Nd2Ho2C3 structure at the PBE-GGA level of DFT.

Output
Calculated total energy = -6.734 eV/atom

The structure in CIF format:
```
data_Nd2Ho2C3
_chemical_formula_sum 'Nd4 Ho4 C6'
_cell_length_a 13.501
_cell_length_b 3.802
_cell_length_c 6.186
_cell_angle_alpha 90.00
_cell_angle_beta 116.48
_cell_angle_gamma 90.00
_symmetry_space_group_name_H-M 'C 1 2/m 1'
_symmetry_Int_Tables_number 12
_symmetry_space_group_name_Hall '-C 2y'
loop_
_atom_site_label
_atom_site_type_symbol
_atom_site_fract_x
_atom_site_fract_y
_atom_site_fract_z
_atom_site_occupancy
Nd1 Nd 0.133 0.000 0.484 1
Ho1 Ho 0.137 0.500 0.940 1
C1 C 0.000 0.500 0.500 1
C2 C 0.219 0.000 0.194 1
```

---

# 9
Computed, not measured: a geometry-optimized Ho11Ni60C6 structure at the PBE-GGA level of DFT.

Output
Calculated total energy = -5.994 eV/atom

The structure in CIF format:
```
data_Ho11Ni60C6
_chemical_formula_sum 'Ho22 Ni120 C12'
_cell_length_a 12.470
_cell_length_b 12.470
_cell_length_c 12.470
_cell_angle_alpha 90.00
_cell_angle_beta 90.00
_cell_angle_gamma 90.00
_symmetry_space_group_name_H-M 'I m -3 m'
_symmetry_Int_Tables_number 229
_symmetry_space_group_name_Hall '-I 4 2 3'
loop_
_atom_site_label
_atom_site_type_symbol
_atom_site_fract_x
_atom_site_fract_y
_atom_site_fract_z
_atom_site_occupancy
Ho1 Ho 0.000 0.000 0.500 1
Ho2 Ho 0.168 0.168 0.168 1
Ni1 Ni 0.000 0.000 0.143 1
Ni2 Ni 0.000 0.148 0.320 1
Ni3 Ni 0.000 0.250 0.500 1
Ni4 Ni 0.093 0.326 0.326 1
C1 C 0.000 0.000 0.291 1
```

---

# 10
Computed, not measured: a geometry-optimized Ho4Ni13C4 structure at the PBE-GGA level of DFT.

Output
Calculated total energy = -6.427 eV/atom

The structure in CIF format:
```
data_Ho4Ni13C4
_chemical_formula_sum 'Ho8 Ni26 C8'
_cell_length_a 11.718
_cell_length_b 11.990
_cell_length_c 3.850
_cell_angle_alpha 90.00
_cell_angle_beta 90.00
_cell_angle_gamma 90.00
_symmetry_space_group_name_H-M 'C m m m'
_symmetry_Int_Tables_number 65
_symmetry_space_group_name_Hall '-C 2 2'
loop_
_atom_site_label
_atom_site_type_symbol
_atom_site_fract_x
_atom_site_fract_y
_atom_site_fract_z
_atom_site_occupancy
Ho1 Ho 0.000 0.187 0.000 1
Ho2 Ho 0.151 0.500 0.000 1
Ni1 Ni 0.000 0.000 0.500 1
Ni2 Ni 0.107 0.323 0.500 1
Ni3 Ni 0.124 0.000 0.000 1
Ni4 Ni 0.183 0.108 0.500 1
Ni5 Ni 0.250 0.250 0.000 1
C1 C 0.000 0.443 0.500 1
C2 C 0.250 0.250 0.500 1
```

---

# 11
Computed, not measured: a geometry-optimized HoTmNi2C4 structure at the PBE-GGA level of DFT.

Output
Calculated total energy = -7.403 eV/atom

The structure in CIF format:
```
data_HoTmNi2C4
_chemical_formula_sum 'Ho1 Tm1 Ni2 C4'
_cell_length_a 3.504
_cell_length_b 3.504
_cell_length_c 7.394
_cell_angle_alpha 90.00
_cell_angle_beta 90.00
_cell_angle_gamma 90.00
_symmetry_space_group_name_H-M 'P 4 m m'
_symmetry_Int_Tables_number 99
_symmetry_space_group_name_Hall 'P 4 -2'
loop_
_atom_site_label
_atom_site_type_symbol
_atom_site_fract_x
_atom_site_fract_y
_atom_site_fract_z
_atom_site_occupancy
Ho1 Ho 0.000 0.000 0.000 1
Tm1 Tm 0.500 0.500 0.333 1
Ni1 Ni 0.000 0.500 0.667 1
C1 C 0.000 0.000 0.322 1
C2 C 0.000 0.000 0.509 1
C3 C 0.500 0.500 0.014 1
C4 C 0.500 0.500 0.827 1
```

---

# 12
Computed, not measured: a geometry-optimized YHoNi2C4 structure at the PBE-GGA level of DFT.

Output
Calculated total energy = -7.632 eV/atom

The structure in CIF format:
```
data_YHoNi2C4
_chemical_formula_sum 'Y1 Ho1 Ni2 C4'
_cell_length_a 3.537
_cell_length_b 3.537
_cell_length_c 7.421
_cell_angle_alpha 90.00
_cell_angle_beta 90.00
_cell_angle_gamma 90.00
_symmetry_space_group_name_H-M 'P 4 m m'
_symmetry_Int_Tables_number 99
_symmetry_space_group_name_Hall 'P 4 -2'
loop_
_atom_site_label
_atom_site_type_symbol
_atom_site_fract_x
_atom_site_fract_y
_atom_site_fract_z
_atom_site_occupancy
Y1 Y 0.000 0.000 0.000 1
Ho1 Ho 0.500 0.500 0.665 1
Ni1 Ni 0.000 0.500 0.333 1
C1 C 0.000 0.000 0.489 1
C2 C 0.000 0.000 0.676 1
C3 C 0.500 0.500 0.174 1
C4 C 0.500 0.500 0.988 1
```